# K2LiHg10 PBE optimized geometry
# formation energy from the elements	-0.13	eV/atom
# N(E_F)	11.53	states/eV/cell
data_K2LiHg10
_chemical_formula_sum 'K4 Li2 Hg20'
_symmetry_space_group_name_H-M 'P b a m'
_symmetry_Int_Tables_number 55
_cell_length_a 11.445
_cell_length_b 11.652
_cell_length_c 6.705
_cell_angle_alpha 90.00
_cell_angle_beta 90.00
_cell_angle_gamma 90.00
loop_
_symmetry_equiv_pos_as_xyz
'x,y,z'
'-x,-y,-z'
'-x,-y,z'
'x,y,-z'
'x+1/2,-y+1/2,-z'
'-x+1/2,y+1/2,z'
'-x+1/2,y+1/2,-z'
'x+1/2,-y+1/2,z'
loop_
_atom_site_label
_atom_site_type_symbol
_atom_site_fract_x
_atom_site_fract_y
_atom_site_fract_z
K1 K 0.155 0.119 0.000
Li1 Li 0.000 0.500 0.500
Hg1 Hg 0.053 0.881 0.500
Hg2 Hg 0.054 0.665 0.218
Hg3 Hg 0.172 0.299 0.500
Hg4 Hg 0.244 0.552 0.500